Model w:
Here is a relaxed ZrCu6Pd12 crystal from Alexandria via LeMat-Bulk. Energies are from PBE-GGA.

Computed properties:
calculated volume = 280.3 Å³ per cell

abc: 7.2667 7.2667 7.2667
angles: 110.77 110.77 110.77
Last column: nearest neighbours and their distance in Å.
Positions (direct):
Zr (0.0000, 0.0000, 0.0000)  12 Pd 2.80
Cu (0.0461, 0.3600, 0.5715)  9 Pd 2.69-2.79, 3 Cu 2.76
Cu (0.3600, 0.5715, 0.0461)  9 Pd 2.69-2.79, 3 Cu 2.76
Cu (0.4285, 0.9539, 0.6400)  9 Pd 2.69-2.79, 3 Cu 2.76
Cu (0.5715, 0.0461, 0.3600)  9 Pd 2.69-2.79, 3 Cu 2.76
Cu (0.6400, 0.4285, 0.9539)  9 Pd 2.69-2.79, 3 Cu 2.76
Cu (0.9539, 0.6400, 0.4285)  9 Pd 2.69-2.79, 3 Cu 2.76
Pd (0.1111, 0.7367, 0.1670)  6 Pd 2.69-2.86, 5 Cu 2.70-2.75, 1 Zr 2.80
Pd (0.1670, 0.1111, 0.7367)  6 Pd 2.69-2.86, 5 Cu 2.70-2.75, 1 Zr 2.80
Pd (0.2075, 0.4770, 0.3238)  4 Cu 2.69-2.79, 7 Pd 2.69-2.86, 1 Zr 2.80
Pd (0.2633, 0.8330, 0.8889)  6 Pd 2.69-2.86, 5 Cu 2.70-2.75, 1 Zr 2.80
Pd (0.3238, 0.2075, 0.4770)  4 Cu 2.69-2.79, 7 Pd 2.69-2.86, 1 Zr 2.80
Pd (0.4770, 0.3238, 0.2075)  4 Cu 2.69-2.79, 7 Pd 2.69-2.86, 1 Zr 2.80
Pd (0.5230, 0.6762, 0.7925)  4 Cu 2.69-2.79, 7 Pd 2.69-2.86, 1 Zr 2.80
Pd (0.6762, 0.7925, 0.5230)  4 Cu 2.69-2.79, 7 Pd 2.69-2.86, 1 Zr 2.80
Pd (0.7367, 0.1670, 0.1111)  6 Pd 2.69-2.86, 5 Cu 2.70-2.75, 1 Zr 2.80
Pd (0.7925, 0.5230, 0.6762)  4 Cu 2.69-2.79, 7 Pd 2.69-2.86, 1 Zr 2.80
Pd (0.8330, 0.8889, 0.2633)  6 Pd 2.69-2.86, 5 Cu 2.70-2.75, 1 Zr 2.80
Pd (0.8889, 0.2633, 0.8330)  6 Pd 2.69-2.86, 5 Cu 2.70-2.75, 1 Zr 2.80

=====

Model x:
Here is a relaxed ZrCu6Pd12 crystal from Alexandria via LeMat-Bulk. Energies are from PBE-GGA.

Computed properties:
calculated volume = 294.9 Å³ per cell

abc: 6.8551 6.8551 6.8551
angles: 102.53 102.53 102.53
Last column: nearest neighbours and their distance in Å.
Positions (direct):
Zr (0.0000, 0.0000, 0.0000)  6 Pd 2.77, 6 Cu 2.77
Cu (0.1733, 0.1733, 0.4248)  2 Cu 2.69, 7 Pd 2.70-2.81, 1 Zr 2.77
Cu (0.1733, 0.4248, 0.1733)  2 Cu 2.69, 7 Pd 2.70-2.81, 1 Zr 2.77
Cu (0.4248, 0.1733, 0.1733)  2 Cu 2.69, 7 Pd 2.70-2.81, 1 Zr 2.77
Cu (0.5752, 0.8267, 0.8267)  2 Cu 2.69, 7 Pd 2.70-2.81, 1 Zr 2.77
Cu (0.8267, 0.5752, 0.8267)  2 Cu 2.69, 7 Pd 2.70-2.81, 1 Zr 2.77
Cu (0.8267, 0.8267, 0.5752)  2 Cu 2.69, 7 Pd 2.70-2.81, 1 Zr 2.77
Pd (0.0000, 0.2592, 0.7408)  4 Cu 2.70-2.81, 6 Pd 2.74-2.86, 1 Zr 2.77
Pd (0.0000, 0.7408, 0.2592)  4 Cu 2.70-2.81, 6 Pd 2.74-2.86, 1 Zr 2.77
Pd (0.1915, 0.5802, 0.5802)  5 Pd 2.51-2.74, 3 Cu 2.73-2.74
Pd (0.2592, 0.0000, 0.7408)  4 Cu 2.70-2.81, 6 Pd 2.74-2.86, 1 Zr 2.77
Pd (0.2592, 0.7408, 0.0000)  4 Cu 2.70-2.81, 6 Pd 2.74-2.86, 1 Zr 2.77
Pd (0.4198, 0.4198, 0.8085)  5 Pd 2.51-2.74, 3 Cu 2.73-2.74
Pd (0.4198, 0.8085, 0.4198)  5 Pd 2.51-2.74, 3 Cu 2.73-2.74
Pd (0.5802, 0.1915, 0.5802)  5 Pd 2.51-2.74, 3 Cu 2.73-2.74
Pd (0.5802, 0.5802, 0.1915)  5 Pd 2.51-2.74, 3 Cu 2.73-2.74
Pd (0.7408, 0.0000, 0.2592)  4 Cu 2.70-2.81, 6 Pd 2.74-2.86, 1 Zr 2.77
Pd (0.7408, 0.2592, 0.0000)  4 Cu 2.70-2.81, 6 Pd 2.74-2.86, 1 Zr 2.77
Pd (0.8085, 0.4198, 0.4198)  5 Pd 2.51-2.74, 3 Cu 2.73-2.74

=====

Relative to the most stable one, in meV per atom, the structures come out at model w 0; model x 205.

=====

Model w:
Here is a relaxed Zr3Cu2Pd crystal from Alexandria via LeMat-Bulk. Energies are from PBE-GGA.

Computed properties:
calculated volume = 108.4 Å³ per cell

abc: 7.3022 7.3022 3.3942
angles: 90.00 90.00 143.21
Last column: nearest neighbours and their distance in Å.
Positions (direct):
Zr (0.0000, 0.0000, 0.0000)  4 Pd 2.86, 4 Cu 2.88
Zr (0.3303, 0.6697, 0.0000)  6 Cu 2.82-2.86, 2 Pd 2.90
Zr (0.6697, 0.3303, 0.0000)  6 Cu 2.82-2.86, 2 Pd 2.90
Cu (0.1681, 0.8319, 0.5000)  8 Zr 2.82-2.88
Cu (0.8319, 0.1681, 0.5000)  8 Zr 2.82-2.88
Pd (0.5000, 0.5000, 0.5000)  8 Zr 2.86-2.90

=====

Model x:
Here is a relaxed Zr3Cu2Pd crystal from Alexandria via LeMat-Bulk. Energies are from PBE-GGA.

Computed properties:
calculated volume = 108.1 Å³ per cell

abc: 3.3706 3.3706 9.5135
angles: 90.00 90.00 90.00
Last column: nearest neighbours and their distance in Å.
Positions (direct):
Zr (0.0000, 0.0000, 0.0000)  8 Cu 2.83, 2 Zr 3.11
Zr (0.0000, 0.0000, 0.3267)  4 Cu 2.86, 4 Pd 2.90, 1 Zr 3.11
Zr (0.0000, 0.0000, 0.6733)  4 Cu 2.86, 4 Pd 2.90, 1 Zr 3.11
Cu (0.5000, 0.5000, 0.1600)  8 Zr 2.83-2.86, 1 Cu 3.04
Cu (0.5000, 0.5000, 0.8400)  8 Zr 2.83-2.86, 1 Cu 3.04
Pd (0.5000, 0.5000, 0.5000)  8 Zr 2.90, 2 Cu 3.23

=====

Relative to the most stable one, in meV per atom, the structures come out at model w 7; model x 0.

=====

Model w:
Here is a relaxed ZrCu5Pd6 crystal from Alexandria via LeMat-Bulk. Energies are from PBE-GGA.

Computed properties:
calculated volume = 174.5 Å³ per cell

abc: 4.5312 5.8111 6.7169
angles: 90.00 99.41 90.00
Last column: nearest neighbours and their distance in Å.
Positions (direct):
Zr (0.0000, 0.0000, 0.0000)  8 Pd 2.72, 4 Cu 2.91
Cu (0.0000, 0.5000, 0.0000)  8 Pd 2.66-2.69, 2 Cu 2.86, 2 Zr 2.91
Cu (0.3306, 0.5000, 0.6720)  8 Pd 2.62-2.69, 3 Cu 2.86-2.91
Cu (0.3370, 0.0000, 0.6670)  8 Pd 2.65-2.72, 3 Cu 2.88-2.91, 1 Zr 2.91
Cu (0.6630, 0.0000, 0.3330)  8 Pd 2.65-2.72, 3 Cu 2.88-2.91, 1 Zr 2.91
Cu (0.6694, 0.5000, 0.3280)  8 Pd 2.62-2.69, 3 Cu 2.86-2.91
Pd (0.1701, 0.2536, 0.3392)  7 Cu 2.65-2.72, 1 Zr 2.72, 4 Pd 2.85-2.95
Pd (0.1701, 0.7464, 0.3392)  7 Cu 2.65-2.72, 1 Zr 2.72, 4 Pd 2.85-2.95
Pd (0.5000, 0.2592, 0.0000)  6 Cu 2.62-2.70, 2 Zr 2.72, 3 Pd 2.80-2.92
Pd (0.5000, 0.7408, 0.0000)  6 Cu 2.62-2.70, 2 Zr 2.72, 3 Pd 2.80-2.92
Pd (0.8299, 0.2536, 0.6608)  7 Cu 2.65-2.72, 1 Zr 2.72, 4 Pd 2.85-2.95
Pd (0.8299, 0.7464, 0.6608)  7 Cu 2.65-2.72, 1 Zr 2.72, 4 Pd 2.85-2.95

=====

Model x:
Here is a relaxed ZrCu5Pd6 crystal from Alexandria via LeMat-Bulk. Energies are from PBE-GGA.

Computed properties:
calculated volume = 174.1 Å³ per cell

abc: 6.3340 6.3340 7.1625
angles: 90.00 90.00 142.70
Last column: nearest neighbours and their distance in Å.
Positions (direct):
Zr (0.0000, 0.0000, 0.0000)  8 Pd 2.73-2.74, 4 Cu 2.90
Cu (0.0000, 0.0000, 0.5000)  8 Pd 2.67-2.68, 4 Cu 2.82
Cu (0.3268, 0.6732, 0.0000)  8 Pd 2.65-2.77, 2 Cu 2.74, 2 Zr 2.90
Cu (0.3367, 0.6633, 0.5000)  8 Pd 2.63-2.67, 4 Cu 2.82-2.90
Cu (0.6633, 0.3367, 0.5000)  8 Pd 2.63-2.67, 4 Cu 2.82-2.90
Cu (0.6732, 0.3268, 0.0000)  8 Pd 2.65-2.77, 2 Cu 2.74, 2 Zr 2.90
Pd (0.1685, 0.8315, 0.2576)  7 Cu 2.65-2.74, 1 Zr 2.74, 4 Pd 2.82-2.86
Pd (0.1685, 0.8315, 0.7424)  7 Cu 2.65-2.74, 1 Zr 2.74, 4 Pd 2.82-2.86
Pd (0.5000, 0.5000, 0.2560)  6 Cu 2.63-2.77, 2 Zr 2.73, 4 Pd 2.86
Pd (0.5000, 0.5000, 0.7440)  6 Cu 2.63-2.77, 2 Zr 2.73, 4 Pd 2.86
Pd (0.8315, 0.1685, 0.2576)  7 Cu 2.65-2.74, 1 Zr 2.74, 4 Pd 2.82-2.86
Pd (0.8315, 0.1685, 0.7424)  7 Cu 2.65-2.74, 1 Zr 2.74, 4 Pd 2.82-2.86

=====

Relative to the most stable one, in meV per atom, the structures come out at model w 11; model x 0.

=====

Model w:
Here is a relaxed Pm3Cu2 crystal from Alexandria via LeMat-Bulk. Energies are from PBE-GGA.

Computed properties:
calculated volume = 250.2 Å³ per cell

abc: 3.5731 3.5731 19.6001
angles: 90.00 90.00 90.00
Last column: nearest neighbours and their distance in Å.
Positions (direct):
Pm (0.0000, 0.0000, 0.0000)  8 Cu 3.10
Pm (0.0000, 0.0000, 0.1826)  8 Cu 3.08-3.09
Pm (0.0000, 0.0000, 0.3626)  4 Cu 3.09
Pm (0.0000, 0.0000, 0.6374)  4 Cu 3.09
Pm (0.0000, 0.0000, 0.8174)  8 Cu 3.08-3.09
Pm (0.5000, 0.5000, 0.5000)  12 Pm 3.57-3.69
Cu (0.5000, 0.5000, 0.0916)  8 Pm 3.09-3.10
Cu (0.5000, 0.5000, 0.2720)  8 Pm 3.08-3.09
Cu (0.5000, 0.5000, 0.7280)  8 Pm 3.08-3.09
Cu (0.5000, 0.5000, 0.9084)  8 Pm 3.09-3.10

=====

Model x:
Here is a relaxed Pm3Cu2 crystal from Alexandria via LeMat-Bulk. Energies are from PBE-GGA.

Computed properties:
calculated volume = 125.4 Å³ per cell

abc: 10.1654 10.1654 10.1654
angles: 159.78 159.78 28.75
Last column: nearest neighbours and their distance in Å.
Positions (direct):
Pm (0.0000, 0.0000, 0.0000)  8 Cu 3.08
Pm (0.1799, 0.1799, 0.0000)  4 Cu 3.09
Pm (0.8201, 0.8201, 0.0000)  4 Cu 3.09
Cu (0.4104, 0.4104, 0.0000)  8 Pm 3.08-3.09
Cu (0.5896, 0.5896, 0.0000)  8 Pm 3.08-3.09

=====

Relative to the most stable one, in meV per atom, the structures come out at model w 0; model x 6.

=====

Model w:
Here is a relaxed Pm2Cu crystal from Alexandria via LeMat-Bulk. Energies are from PBE-GGA.

Computed properties:
calculated volume = 160.1 Å³ per cell

abc: 3.5892 3.5892 12.4301
angles: 90.00 90.00 90.00
Last column: nearest neighbours and their distance in Å.
Positions (direct):
Pm (0.0000, 0.0000, 0.0000)  8 Cu 3.10
Pm (0.0000, 0.0000, 0.2829)  4 Cu 3.07
Pm (0.0000, 0.0000, 0.7171)  4 Cu 3.07
Pm (0.5000, 0.5000, 0.5000)  12 Pm 3.59-3.70
Cu (0.5000, 0.5000, 0.1434)  8 Pm 3.07-3.10
Cu (0.5000, 0.5000, 0.8566)  8 Pm 3.07-3.10

=====

Model x:
Here is a relaxed Pm2Cu crystal from Alexandria via LeMat-Bulk. Energies are from PBE-GGA.

Computed properties:
calculated volume = 80.6 Å³ per cell

abc: 6.7877 6.7877 6.7877
angles: 149.44 149.44 43.77
Last column: nearest neighbours and their distance in Å.
Positions (direct):
Pm (0.1391, 0.1391, 0.0000)  4 Cu 3.08
Pm (0.8609, 0.8609, 0.0000)  4 Cu 3.08
Cu (0.5000, 0.5000, 0.0000)  8 Pm 3.08

=====

Relative to the most stable one, in meV per atom, the structures come out at model w 0; model x 17.

=====

Model w:
Here is a relaxed PmCu3 crystal from Alexandria via LeMat-Bulk. Energies are from PBE-GGA.

Computed properties:
calculated volume = 73.5 Å³ per cell

abc: 3.6846 3.6846 5.4147
angles: 90.00 90.00 90.00
Last column: nearest neighbours and their distance in Å.
Positions (direct):
Pm (0.0000, 0.0000, 0.0000)  8 Cu 2.94-3.06
Cu (0.0000, 0.5000, 0.5486)  6 Cu 2.44-2.61
Cu (0.5000, 0.0000, 0.5486)  6 Cu 2.44-2.61
Cu (0.5000, 0.5000, 0.2522)  4 Cu 2.44

=====

Model x:
Here is a relaxed PmCu3 crystal from Alexandria via LeMat-Bulk. Energies are from PBE-GGA.

Computed properties:
calculated volume = 69.8 Å³ per cell

abc: 4.6209 4.6209 4.6209
angles: 60.00 60.00 60.00
Last column: nearest neighbours and their distance in Å.
Positions (direct):
Pm (0.0000, 0.0000, 0.0000)  8 Cu 2.83
Cu (0.2500, 0.2500, 0.2500)  4 Cu 2.83, 4 Pm 2.83
Cu (0.5000, 0.5000, 0.5000)  8 Cu 2.83
Cu (0.7500, 0.7500, 0.7500)  4 Cu 2.83, 4 Pm 2.83

=====

Relative to the most stable one, in meV per atom, the structures come out at model w 60; model x 0.

=====

Model w:
Here is a relaxed PmCu3 crystal from Alexandria via LeMat-Bulk. Energies are from PBE-GGA.

Computed properties:
calculated volume = 142.8 Å³ per cell

abc: 6.1761 6.1761 4.3239
angles: 90.00 90.00 120.00
Last column: nearest neighbours and their distance in Å.
Positions (direct):
Pm (0.3333, 0.6667, 0.2500)  12 Cu 3.03-3.11
Pm (0.6667, 0.3333, 0.7500)  12 Cu 3.03-3.11
Cu (0.1353, 0.2706, 0.7500)  6 Cu 2.51-2.60
Cu (0.1353, 0.8647, 0.7500)  6 Cu 2.51-2.60
Cu (0.2706, 0.1353, 0.2500)  6 Cu 2.51-2.60
Cu (0.7294, 0.8647, 0.7500)  6 Cu 2.51-2.60
Cu (0.8647, 0.1353, 0.2500)  6 Cu 2.51-2.60
Cu (0.8647, 0.7294, 0.2500)  6 Cu 2.51-2.60

=====

Model x:
Here is a relaxed PmCu3 crystal from Alexandria via LeMat-Bulk. Energies are from PBE-GGA.

Computed properties:
calculated volume = 137.0 Å³ per cell

abc: 5.2954 5.2954 6.6952
angles: 90.00 90.00 133.14
Last column: nearest neighbours and their distance in Å.
Positions (direct):
Pm (0.0833, 0.9167, 0.7500)  9 Cu 2.84-3.06
Pm (0.9167, 0.0833, 0.2500)  9 Cu 2.84-3.06
Cu (0.2086, 0.7914, 0.2500)  6 Cu 2.57-2.61, 1 Pm 2.84
Cu (0.3700, 0.6300, 0.5623)  5 Cu 2.51-2.66
Cu (0.3700, 0.6300, 0.9377)  5 Cu 2.51-2.66
Cu (0.6300, 0.3700, 0.0623)  5 Cu 2.51-2.66
Cu (0.6300, 0.3700, 0.4377)  5 Cu 2.51-2.66
Cu (0.7914, 0.2086, 0.7500)  6 Cu 2.57-2.61, 1 Pm 2.84

=====

Relative to the most stable one, in meV per atom, the structures come out at model w 59; model x 0.

=====

Model w:
Here is a relaxed Pm2PrCu2 crystal from Alexandria via LeMat-Bulk. Energies are from PBE-GGA.

Computed properties:
calculated volume = 253.9 Å³ per cell

abc: 13.4826 13.4826 5.2341
angles: 90.00 90.00 164.52
Last column: nearest neighbours and their distance in Å.
Positions (direct):
Pm (0.0470, 0.9530, 0.7500)  8 Cu 3.04-3.19
Pm (0.2299, 0.7701, 0.7500)  2 Cu 3.02, 4 Pm 3.36
Pm (0.7701, 0.2299, 0.2500)  2 Cu 3.02, 4 Pm 3.36
Pm (0.9530, 0.0470, 0.2500)  8 Cu 3.04-3.19
Pr (0.1408, 0.8592, 0.2500)  6 Cu 3.16-3.19, 2 Pm 3.54
Pr (0.8592, 0.1408, 0.7500)  6 Cu 3.16-3.19, 2 Pm 3.54
Cu (0.3605, 0.6395, 0.2500)  4 Pm 3.02-3.07, 4 Pr 3.19
Cu (0.4560, 0.5440, 0.7500)  6 Pm 3.04-3.19, 2 Pr 3.16
Cu (0.5440, 0.4560, 0.2500)  6 Pm 3.04-3.19, 2 Pr 3.16
Cu (0.6395, 0.3605, 0.7500)  4 Pm 3.02-3.07, 4 Pr 3.19

=====

Model x:
Here is a relaxed Pm2PrCu2 crystal from Alexandria via LeMat-Bulk. Energies are from PBE-GGA.

Computed properties:
calculated volume = 265.3 Å³ per cell

abc: 5.0455 4.7440 11.1851
angles: 90.00 97.69 90.00
Last column: nearest neighbours and their distance in Å.
Positions (direct):
Pm (0.1507, 0.2500, 0.1161)  5 Cu 2.75-3.04
Pm (0.2529, 0.7500, 0.5090)  4 Cu 2.87-2.89
Pm (0.7471, 0.2500, 0.4910)  4 Cu 2.87-2.89
Pm (0.8493, 0.7500, 0.8839)  5 Cu 2.75-3.04
Pr (0.3088, 0.2500, 0.7556)  1 Cu 2.97
Pr (0.6912, 0.7500, 0.2444)  1 Cu 2.97
Cu (0.2098, 0.2500, 0.3639)  5 Pm 2.75-2.89
Cu (0.3872, 0.7500, 0.9979)  2 Cu 2.63, 2 Pm 2.80-2.84
Cu (0.6128, 0.2500, 0.0021)  2 Cu 2.63, 2 Pm 2.80-2.84
Cu (0.7902, 0.7500, 0.6361)  5 Pm 2.75-2.89

=====

Relative to the most stable one, in meV per atom, the structures come out at model w 0; model x 18.